DFT (SCAN) results for a PBEsol-optimized structure of La2TeOs.

a b c (Å): 4.328 4.328 6.453
angles (deg): 90.00 90.00 90.00
Space group P4mm (No. 99)
Asymmetric unit:
La 0.000 0.000 0.000 (multiplicity 1)
La 0.500 0.500 0.393 (multiplicity 1)
Te 0.500 0.500 0.886 (multiplicity 1)
Os 0.000 0.000 0.382 (multiplicity 1)

## Properties
Crystal system: tetragonal
Energy relative to the elements, uncorrected: -0.725 eV/atom

***

DFT (SCAN) results for a PBEsol-optimized structure of La2ZrTiOs.

a b c (Å): 5.357 5.357 4.534
angles (deg): 90.00 90.00 90.00
Space group P4/mmm (No. 123)
Asymmetric unit:
La 0.000 0.500 0.000 (multiplicity 2)
Zr 0.000 0.000 0.000 (multiplicity 1)
Ti 0.000 0.000 0.500 (multiplicity 1)
Os 0.500 0.500 0.500 (multiplicity 1)

## Properties
ΔE_f: 1456.1 meV/atom
Crystal system: tetragonal